Density functional theory data (PBE) for an optimized crystal structure of KTh2Cu2Se6.

Properties
E = -5.189 eV per atom
space group = No. 2
energy relative to the elements, uncorrected = -1.095 eV/atom

a b c (Å): 7.596 7.709 8.073
angles (deg): 119.97 87.18 63.61
Sites, in units of the cell vectors:
Se: 0.189 0.838 0.581
Se: 0.419 0.795 0.041
Se: 0.811 0.162 0.419
Se: 0.060 0.550 0.808
Se: 0.581 0.205 0.959
Se: 0.940 0.450 0.192
Cu: 0.755 0.269 0.193
Cu: 0.245 0.731 0.807
Th: 0.831 0.341 0.828
Th: 0.169 0.659 0.172
K: 0.500 0.000 0.500